Entry 1:
## BaMgGe2Pt5 (PBE)

Data for a geometry-optimized BaMgGe2Pt5 structure.

Properties
Calculated volume in Å³/cell: 192.3
E_tot in eV per atom: -5.355
Space-group type: P4/mmm, No. 123
Size of the total moment in μB/f.u.: 0.000
Calculated formation energy in eV per formula unit: -5.2

a b c (Å): 4.238 4.238 10.704
angles (deg): 90.00 90.00 90.00
Fractional positions:
Pt: 0.000 0.500 0.154
Pt: 0.500 0.000 0.846
Pt: 0.500 0.000 0.154
Ba: 0.000 0.000 0.500
Ge: 0.500 0.500 0.272
Pt: 0.500 0.500 0.500
Pt: 0.000 0.500 0.846
Mg: 0.000 0.000 0.000
Ge: 0.500 0.500 0.728


Entry 2:
## Ba2MgGe4Pt3 (PBE)

Data for a geometry-optimized Ba2MgGe4Pt3 structure.

Properties
Calculated volume in Å³/cell: 219.7
E_tot in eV per atom: -4.897
Space-group type: P-4m2, No. 115
Size of the total moment in μB/f.u.: 0.000
Calculated formation energy in eV per formula unit: -6.9

a b c (Å): 4.546 4.546 10.632
angles (deg): 90.00 90.00 90.00
Fractional positions:
Ge: 0.000 0.000 0.000
Ge: 0.500 0.500 0.000
Pt: 0.000 0.000 0.500
Ba: 0.500 0.000 0.245
Mg: 0.500 0.500 0.500
Ba: 0.000 0.500 0.755
Pt: 0.000 0.500 0.115
Ge: 0.000 0.500 0.362
Ge: 0.500 0.000 0.638
Pt: 0.500 0.000 0.885


Which formula does entry 2 have?
Ba2MgGe4Pt3


The highest calculated volume belongs to which entry?
Ba2MgGe4Pt3